Here is a relaxed MnRe2Tc crystal from Alexandria via LeMat-Bulk. Energies are from PBE.

```
data_MnRe2Tc
_cell_length_a 2.7202
_cell_length_b 4.1570
_cell_length_c 5.1351
_cell_angle_alpha 90.00
_cell_angle_beta 103.80
_cell_angle_gamma 90.00
_space_group_name_H-M_alt 'P 1 m 1'
_space_group_IT_number 6
_space_group_name_Hall 'P -2y'
loop_
_atom_site_label
_atom_site_fract_x
_atom_site_fract_y
_atom_site_fract_z
Mn1 0.0000 0.0000 0.0000
Re1 0.0775 0.5000 0.2501
Re2 0.7117 0.0000 0.4932
Tc1 0.3855 0.5000 0.7765
```

* ΔE_f: 45 kJ/mol of formula units
* total energy: -10.990 eV per atom
* total moment: 0.143 μB/atom
* DOS(E_F): 4.4 states/eV per cell



Here is a relaxed MnRe2Tc crystal from Alexandria via LeMat-Bulk. Energies are from PBE.

```
data_MnRe2Tc
_cell_length_a 6.1402
_cell_length_b 6.1402
_cell_length_c 6.1402
_cell_angle_alpha 90.00
_cell_angle_beta 90.00
_cell_angle_gamma 90.00
_space_group_name_H-M_alt 'F -4 3 m'
_space_group_IT_number 216
_space_group_name_Hall 'F -4 2 3'
loop_
_atom_site_label
_atom_site_fract_x
_atom_site_fract_y
_atom_site_fract_z
Mn1 0.0000 0.0000 0.0000
Re1 0.0000 0.0000 0.5000
Re2 0.2500 0.2500 0.7500
Tc1 0.2500 0.2500 0.2500
```

* ΔE_f: 40 kJ/mol of formula units
* total energy: -11.004 eV per atom
* total moment: 0.836 μB/atom
* DOS(E_F): 11.1 states/eV per cell



Here is a relaxed MnRe2Tc crystal from Alexandria via LeMat-Bulk. Energies are from PBE.

```
data_MnRe2Tc
_cell_length_a 2.7102
_cell_length_b 2.7102
_cell_length_c 7.5767
_cell_angle_alpha 90.00
_cell_angle_beta 90.00
_cell_angle_gamma 90.00
_space_group_name_H-M_alt 'P 4/m m m'
_space_group_IT_number 123
_space_group_name_Hall '-P 4 2'
loop_
_atom_site_label
_atom_site_fract_x
_atom_site_fract_y
_atom_site_fract_z
Mn1 0.0000 0.0000 0.0000
Re1 0.5000 0.5000 0.2310
Tc1 0.0000 0.0000 0.5000
```

* ΔE_f: 28 kJ/mol of formula units
* total energy: -11.036 eV per atom
* total moment: 0.000 μB/atom
* DOS(E_F): 3.4 states/eV per cell



Here is a relaxed MnRe2Tc crystal from Alexandria via LeMat-Bulk. Energies are from PBE.

```
data_MnRe2Tc
_cell_length_a 3.1007
_cell_length_b 3.1007
_cell_length_c 5.9312
_cell_angle_alpha 90.00
_cell_angle_beta 90.00
_cell_angle_gamma 90.00
_space_group_name_H-M_alt 'P 4 m m'
_space_group_IT_number 99
_space_group_name_Hall 'P 4 -2'
loop_
_atom_site_label
_atom_site_fract_x
_atom_site_fract_y
_atom_site_fract_z
Mn1 0.0000 0.0000 0.0000
Re1 0.0000 0.0000 0.5013
Re2 0.5000 0.5000 0.2404
Tc1 0.5000 0.5000 0.7748
```

* ΔE_f: 47 kJ/mol of formula units
* total energy: -10.985 eV per atom
* total moment: 0.662 μB/atom
* DOS(E_F): 3.3 states/eV per cell



Here is a relaxed MnRe2Tc crystal from Alexandria via LeMat-Bulk. Energies are from PBE.

```
data_MnRe2Tc
_cell_length_a 4.1029
_cell_length_b 4.1029
_cell_length_c 12.8051
_cell_angle_alpha 90.00
_cell_angle_beta 90.00
_cell_angle_gamma 120.00
_space_group_name_H-M_alt 'R 3 m'
_space_group_IT_number 160
_space_group_name_Hall 'R 3 -2"'
loop_
_atom_site_label
_atom_site_fract_x
_atom_site_fract_y
_atom_site_fract_z
Mn1 0.0000 0.0000 0.0000
Re1 0.0000 0.0000 0.4000
Re2 0.0000 0.0000 0.6012
Tc1 0.0000 0.0000 0.1892
```

* ΔE_f: 158 kJ/mol of formula units
* total energy: -10.699 eV per atom
* total moment: 0.000 μB/atom
* DOS(E_F): 13.9 states/eV per cell



Here is a relaxed MnRe2Tc crystal from Alexandria via LeMat-Bulk. Energies are from PBE.

```
data_MnRe2Tc
_cell_length_a 3.1082
_cell_length_b 3.1082
_cell_length_c 5.8750
_cell_angle_alpha 90.00
_cell_angle_beta 90.00
_cell_angle_gamma 90.00
_space_group_name_H-M_alt 'P 4/m m m'
_space_group_IT_number 123
_space_group_name_Hall '-P 4 2'
loop_
_atom_site_label
_atom_site_fract_x
_atom_site_fract_y
_atom_site_fract_z
Mn1 0.0000 0.0000 0.0000
Re1 0.5000 0.5000 0.2280
Tc1 0.0000 0.0000 0.5000
```

* ΔE_f: 56 kJ/mol of formula units
* total energy: -10.962 eV per atom
* total moment: 0.570 μB/atom
* DOS(E_F): 3.1 states/eV per cell